No. 1
DFT (PBE) results for BaPdPtF2 after structural relaxation.

Calculated values
Total DFT energy (no corrections), eV/atom: -4.634
Formation energy from raw total energies, eV/f.u.: -6.3
DOS at the Fermi energy, states/eV per atom: 1.08

```
BaPdPtF2
1.0
-0.312 -3.250 -3.081
3.718 2.203 -2.700
3.054 -2.413 2.236
Pd F Pt Ba
1 2 1 1
direct
0.000 0.000 0.000
0.000 0.000 0.500
0.500 0.000 0.000
0.000 0.500 0.000
0.500 0.500 0.500
```


No. 2
DFT (PBE) results for Cs2SbSF after structural relaxation.

Calculated values
Total DFT energy (no corrections), eV/atom: -2.980
Formation energy from raw total energies, eV/f.u.: -3.1
DOS at the Fermi energy, states/eV per atom: 0.71

```
Cs2SbSF
1.0
-4.175 0.109 -3.147
2.212 -5.604 -3.127
-2.649 -2.949 3.411
Sb Cs F S
1 2 1 1
direct
0.500 0.500 0.500
0.000 0.000 0.500
0.500 0.000 0.000
0.000 0.000 0.000
0.000 0.500 0.000
```


No. 3
DFT (PBE) results for TbHo6Er after structural relaxation.

Calculated values
Total DFT energy (no corrections), eV/atom: -4.564
Calculated formation energy, eV per atom: 0.0182
E above lowest polymorph, eV per atom: 0.000
DOS at the Fermi energy, states/eV per atom: 1.26

```
TbHo6Er
1.0
-3.370 -2.948 4.137
-1.677 -5.839 0.463
3.613 -2.329 10.249
Ho Er Tb
6 1 1
direct
0.750 0.250 0.750
0.874 0.625 0.876
0.624 0.875 0.626
0.376 0.125 0.374
0.126 0.375 0.124
0.250 0.750 0.250
0.000 0.000 0.000
0.500 0.500 0.500
```


No. 4
DFT (PBE) results for La6Ir2PdRu after structural relaxation.

Calculated values
Total DFT energy (no corrections), eV/atom: -6.747
Calculated formation energy, eV per atom: -0.5714
DOS at the Fermi energy, states/eV per atom: 0.48

```
La6Ir2PdRu
1.0
-0.031 7.253 0.142
-6.025 3.577 1.870
-0.114 3.494 7.022
La Ir Ru Pd
6 2 1 1
direct
0.573 0.263 0.244
0.092 0.402 0.758
0.261 0.919 0.245
0.403 0.747 0.758
0.919 0.575 0.245
0.748 0.091 0.758
0.995 0.995 0.015
0.499 0.498 0.504
0.335 0.335 0.995
0.835 0.836 0.493
```


No. 5
DFT (PBE) results for K3TbBi2S6 after structural relaxation.

Calculated values
Total DFT energy (no corrections), eV/atom: -4.537
Formation energy from raw total energies, eV/f.u.: -14.0
DOS at the Fermi energy, states/eV per atom: 0.00

```
K3TbBi2S6
1.0
-5.025 1.566 -4.861
-1.724 -0.365 6.944
3.762 6.798 0.060
S K Bi Tb
6 3 2 1
direct
0.743 0.743 0.208
0.605 0.931 0.793
0.931 0.605 0.793
0.395 0.069 0.207
0.257 0.257 0.792
0.069 0.395 0.207
0.169 0.831 0.500
0.500 0.500 0.500
0.831 0.169 0.500
0.334 0.666 0.000
0.666 0.334 0.000
0.000 0.000 0.000
```


No. 6
DFT (PBE) results for MgGa2Te2 after structural relaxation.

Calculated values
Total DFT energy (no corrections), eV/atom: -2.972
Formation energy from raw total energies, eV/f.u.: -0.9
E above lowest polymorph, eV per atom: 0.000
DOS at the Fermi energy, states/eV per atom: 0.27

```
MgGa2Te2
1.0
-5.504 -5.586 1.351
5.004 -3.737 4.932
-1.581 2.382 3.409
Te Ga Mg
4 4 2
direct
0.686 0.186 0.000
0.186 0.314 0.000
0.814 0.686 0.000
0.314 0.814 0.000
0.378 0.122 0.500
0.878 0.378 0.500
0.622 0.878 0.500
0.122 0.622 0.500
0.500 0.500 0.000
0.000 0.000 0.000
```


No. 7
DFT (PBE) results for Rb2SbRhF6 after structural relaxation.

Calculated values
Total DFT energy (no corrections), eV/atom: -4.511
Formation energy from raw total energies, eV/f.u.: -20.5
DOS at the Fermi energy, states/eV per atom: 0.00

```
Rb2SbRhF6
1.0
6.461 0.000 0.000
0.000 6.461 0.000
3.231 3.231 4.582
F Rb Sb Rh
6 2 1 1
direct
0.241 0.241 0.000
0.240 0.240 0.520
0.241 0.759 0.000
0.759 0.241 0.000
0.759 0.759 0.000
0.760 0.760 0.480
0.750 0.250 0.500
0.250 0.750 0.500
0.000 0.000 0.000
0.500 0.500 0.000
```


No. 8
DFT (PBE) results for CaTmCuHg after structural relaxation.

Calculated values
Total DFT energy (no corrections), eV/atom: -3.007
Calculated formation energy, eV per atom: -0.2889
DOS at the Fermi energy, states/eV per atom: 0.64

```
CaTmCuHg
1.0
-4.555 1.624 1.625
-3.254 -3.280 2.164
-0.969 0.293 5.000
Ca Hg Tm Cu
1 1 1 1
direct
0.000 0.000 0.000
0.750 0.750 0.750
0.500 0.500 0.500
0.250 0.250 0.250
```


- What is the formula in the first record?
  BaPdPtF2


- Which value of total DFT energy (no corrections) does entry 8 give?
  -3.007 eV/atom